[1]
Tm3Mg3Ir2Pd (GGA-PBE, optimized geometry); E = -5.27 eV/atom; V = 183 Å³/cell; total moment = 0.0 Bohr magnetons per cell
1.0
7.292 0.000 0.000
-3.646 6.315 0.000
0.000 0.000 3.978
Tm Mg Ir Pd
3 3 2 1
Cartesian
-1.516 2.626 0.000 Tm
3.032 0.000 0.000 Tm
2.130 3.689 0.000 Tm
-2.736 4.738 1.989 Mg
0.910 1.577 1.989 Mg
5.471 0.000 1.989 Mg
0.000 4.210 1.989 Ir
3.646 2.105 1.989 Ir
0.000 0.000 0.000 Pd

[2]
ZrNiBPd (GGA-PBE, optimized geometry); E = -6.42 eV/atom; V = 55 Å³/cell; total moment = 0.0 Bohr magnetons per cell; distance to the lowest polymorph of the same formula = 0.696 eV per formula unit
1.0
0.000 3.016 3.016
3.016 0.000 3.016
3.016 3.016 0.000
Zr Ni B Pd
1 1 1 1
Cartesian
0.000 0.000 0.000 Zr
4.524 4.524 4.524 Ni
3.016 3.016 3.016 B
1.508 1.508 1.508 Pd

[3]
Nd2In2NiPt3 (GGA-PBE, optimized geometry); E = -5.62 eV/atom; V = 168 Å³/cell; total moment = 0.0 Bohr magnetons per cell
1.0
4.602 0.000 0.000
-2.301 3.985 0.000
0.000 0.000 9.167
Nd In Ni Pt
2 2 1 3
Cartesian
0.000 0.000 0.000 Nd
0.000 2.657 4.630 Nd
2.301 1.328 2.330 In
2.301 1.328 6.832 In
0.000 0.000 6.155 Ni
0.000 0.000 3.229 Pt
0.000 2.657 1.499 Pt
0.000 2.657 7.623 Pt

[4]
BeMo2W (GGA-PBE, optimized geometry); E = -9.32 eV/atom; V = 58 Å³/cell; total moment = 0.0 Bohr magnetons per cell
1.0
0.000 3.071 3.071
3.071 0.000 3.071
3.071 3.071 0.000
Be Mo W
1 2 1
Cartesian
0.000 0.000 0.000 Be
3.071 3.071 3.071 Mo
4.606 4.606 4.606 Mo
1.535 1.535 1.535 W

[5]
LuPdAu (GGA-PBE, optimized geometry); E = -5.04 eV/atom; V = 67 Å³/cell; total moment = 0.0 Bohr magnetons per cell; formation enthalpy at 0 K = -2.2 eV/f.u.; distance to the lowest polymorph of the same formula = 0.000 eV per formula unit
1.0
0.000 3.219 3.219
3.219 0.000 3.219
3.219 3.219 0.000
Lu Pd Au
1 1 1
Cartesian
0.000 0.000 0.000 Lu
4.829 4.829 4.829 Pd
3.219 3.219 3.219 Au

[6]
NdDyAsO (GGA-PBE, optimized geometry); E = -6.65 eV/atom; V = 192 Å³/cell; total moment = 0.4 Bohr magnetons per cell; distance to the lowest polymorph of the same formula = 0.217 eV per formula unit
1.0
4.193 0.000 0.000
0.000 7.998 0.000
0.000 0.000 5.718
Nd Dy As O
2 2 2 2
Cartesian
0.000 0.984 0.000 Nd
0.000 7.014 2.859 Nd
2.096 2.310 2.639 Dy
2.096 5.689 5.498 Dy
2.096 2.862 5.478 As
2.096 5.136 2.619 As
0.000 1.411 2.416 O
0.000 6.587 5.275 O

Question: Number 5 is which compound?
Answer: LuPdAu

Question: Which formula does entry 2 have?
Answer: ZrNiBPd

Question: What is the V in the sixth record?
Answer: 192 Å³/cell